## CuSiPt2 (PBE)

Data for a geometry-optimized CuSiPt2 structure.

ΔE_f (raw)   -333 meV/atom

CIF file:
```
data_CuSiPt2
_chemical_formula_sum 'Cu1 Si1 Pt2'
_symmetry_space_group_name_H-M 'P 1'
_symmetry_Int_Tables_number 1
_cell_length_a 4.464
_cell_length_b 4.464
_cell_length_c 2.876
_cell_angle_alpha 90.00
_cell_angle_beta 90.00
_cell_angle_gamma 102.26
loop_
_symmetry_equiv_pos_as_xyz
'x,y,z'
loop_
_atom_site_label
_atom_site_fract_x
_atom_site_fract_y
_atom_site_fract_z
Cu1 0.000 0.000 0.000
Si1 0.500 0.500 0.000
Pt1 0.000 0.500 0.500
Pt2 0.500 0.000 0.500
```